# PmZnIrPb

PmZnIrPb after structural relaxation (PBE, Alexandria via LeMat-Bulk).

CIF file:
```
data_PmZnIrPb
_symmetry_space_group_name_H-M 'P 1'
_symmetry_Int_Tables_number 1
_cell_length_a 4.9474
_cell_length_b 4.9474
_cell_length_c 4.9474
_cell_angle_alpha 60.00
_cell_angle_beta 60.00
_cell_angle_gamma 60.00
loop_
_symmetry_equiv_pos_as_xyz
'x,y,z'
loop_
_atom_site_label
_atom_site_type_symbol
_atom_site_fract_x
_atom_site_fract_y
_atom_site_fract_z
Ir1 Ir 0.5000 0.5000 0.5000
Pm1 Pm 0.7500 0.7500 0.7500
Pb1 Pb 0.2500 0.2500 0.2500
Zn1 Zn 0.0000 0.0000 0.0000
```

Its size of the total moment is 0.0 Bohr magnetons per cell. Its density is 11.83 g/cm3. The crystal system is cubic. Its formation enthalpy at 0 K is -0.22 eV per atom.

***

# Bi4Pd5Pt2

Bi4Pd5Pt2 after structural relaxation (PBE, Alexandria via LeMat-Bulk).

CIF file:
```
data_Bi4Pd5Pt2
_symmetry_space_group_name_H-M 'P 1'
_symmetry_Int_Tables_number 1
_cell_length_a 3.4700
_cell_length_b 8.4954
_cell_length_c 9.0452
_cell_angle_alpha 118.01
_cell_angle_beta 101.06
_cell_angle_gamma 90.00
loop_
_symmetry_equiv_pos_as_xyz
'x,y,z'
loop_
_atom_site_label
_atom_site_type_symbol
_atom_site_fract_x
_atom_site_fract_y
_atom_site_fract_z
Bi1 Bi 0.0000 0.7168 0.0000
Bi2 Bi 0.8168 0.8168 0.6335
Bi3 Bi 0.0000 0.2832 0.0000
Bi4 Bi 0.1832 0.1832 0.3665
Pd1 Pd 0.8035 0.1369 0.6070
Pd2 Pd 0.8035 0.4701 0.6070
Pd3 Pd 0.5000 0.0000 0.0000
Pd4 Pd 0.1965 0.8631 0.3930
Pd5 Pd 0.1965 0.5299 0.3930
Pt1 Pt 0.5930 0.5930 0.1861
Pt2 Pt 0.4070 0.4070 0.8139
```

Its size of the total moment is 0.0 Bohr magnetons per cell. Its density is 12.71 g/cm3. The crystal system is orthorhombic. Its formation enthalpy at 0 K is -0.14 eV per atom. As for the offset from the most stable computed form: 25 meV per atom.